No. 1
Below is a relaxed structure of PrLuHgRu, with properties calculated at the GGA-PBE level.

Unit cell a=5.088 b=5.088 c=5.088 alpha=60.00 beta=60.00 gamma=60.00
Atoms (fractional coordinates):
Pr 0.500 0.500 0.500
Ru 0.750 0.750 0.750
Lu 0.000 0.000 0.000
Hg 0.250 0.250 0.250

Results
ΔE_f	-0.28	eV per atom

No. 2
Below is a relaxed structure of PrSmLuHg, with properties calculated at the GGA-PBE level.

Unit cell a=5.495 b=5.495 c=5.495 alpha=60.00 beta=60.00 gamma=60.00
Atoms (fractional coordinates):
Pr 0.000 0.000 0.000
Lu 0.750 0.750 0.750
Hg 0.250 0.250 0.250
Sm 0.500 0.500 0.500

Results
ΔE_f	-0.09	eV per atom

No. 3
Below is a relaxed structure of PrLuThHg, with properties calculated at the GGA-PBE level.

Unit cell a=5.505 b=5.505 c=5.505 alpha=60.00 beta=60.00 gamma=60.00
Atoms (fractional coordinates):
Pr 0.000 0.000 0.000
Lu 0.750 0.750 0.750
Hg 0.250 0.250 0.250
Th 0.500 0.500 0.500

Results
ΔE_f	0.00	eV per atom